[1]
## InCuIrPd (PBE)

Data for InCuIrPd after structural relaxation.

E above lowest polymorph (eV/f.u.): 0.00
Volume (Å³ per cell): 63.1

a = 4.4695 Å, b = 4.4695 Å, c = 4.4695 Å
α = 60.00°, β = 60.00°, γ = 60.00°
Fractional coordinates of all 4 atoms:
In: 0.0000 0.0000 0.0000
Cu: 0.2500 0.2500 0.2500
Ir: 0.7500 0.7500 0.7500
Pd: 0.5000 0.5000 0.5000

[2]
## In2Re2O5 (PBE)

Data for In2Re2O5 after structural relaxation.

E above lowest polymorph (eV/f.u.): 0.00
Volume (Å³ per cell): 126.2

a = 3.8550 Å, b = 3.8550 Å, c = 8.4922 Å
α = 90.00°, β = 90.00°, γ = 90.00°
Fractional coordinates of all 9 atoms:
In: 0.0000 0.0000 0.0000
In: 0.0000 0.0000 0.5000
Re: 0.5000 0.5000 0.2503
Re: 0.5000 0.5000 0.7497
O: 0.0000 0.5000 0.2464
O: 0.0000 0.5000 0.7536
O: 0.5000 0.0000 0.2464
O: 0.5000 0.0000 0.7536
O: 0.5000 0.5000 0.5000

[3]
## Pm3GaBr3 (PBE)

Data for Pm3GaBr3 after structural relaxation.

Volume (Å³ per cell): 211.3
VASP energy (eV/atom): -4.496

a = 5.9564 Å, b = 5.9564 Å, c = 5.9564 Å
α = 90.00°, β = 90.00°, γ = 90.00°
Fractional coordinates of all 7 atoms:
Pm: 0.0000 0.0000 0.5000
Pm: 0.0000 0.5000 0.0000
Pm: 0.5000 0.0000 0.0000
Ga: 0.0000 0.0000 0.0000
Br: 0.0000 0.5000 0.5000
Br: 0.5000 0.0000 0.5000
Br: 0.5000 0.5000 0.0000